MnV2BiTe, optimized geometry, DFT PBE; ΔE_f (raw) = 0.7383 eV per atom; calculated volume = 21.79 Å³/atom; uncorrected energy = -6.148 eV/atom; crystal system = tetragonal; space-group type = P4/mmm (123)
1.0
4.712 0.000 0.000
0.000 4.712 0.000
0.000 0.000 4.909
Mn V Bi Te
1 2 1 1
Direct
0.000 0.000 0.000
0.000 0.500 0.000
0.500 0.000 0.000
0.000 0.000 0.500
0.500 0.500 0.500